Entry 1:
This record from Alexandria via LeMat-Bulk describes crystalline DyZr2Ga7 at its relaxed geometry. The functional is PBE-GGA.

Summary:
The total magnetization comes out at 0.000 μB/cell. As for the formation energy from the elements: -0.8 eV per formula unit. The space group is Cmmm, No. 65. The mass density is 6.045 g/cm³.

Cell lengths 7.6823, 7.6823, 4.6399 Å; angles 90.00, 90.00, 123.31 degrees
Sites, in units of the cell vectors:
Dy  0.0000  0.0000  0.0000
Zr  0.2765  0.7235  0.5000
Zr  0.7235  0.2765  0.5000
Ga  0.0877  0.2910  0.5000
Ga  0.2910  0.0877  0.5000
Ga  0.3948  0.6052  0.0000
Ga  0.5000  0.5000  0.5000
Ga  0.6052  0.3948  0.0000
Ga  0.7090  0.9123  0.5000
Ga  0.9123  0.7090  0.5000



Entry 2:
This record from Alexandria via LeMat-Bulk describes crystalline DyZrGa at its relaxed geometry. The functional is PBE-GGA.

Summary:
The total magnetization comes out at 0.000 μB/cell. As for the formation energy from the elements: -0.9 eV per formula unit. The space group is I4mm, No. 107. The mass density is 7.736 g/cm³.

Cell lengths 3.3304, 3.3304, 12.5195 Å; angles 90.00, 90.00, 90.00 degrees
Sites, in units of the cell vectors:
Dy  0.0000  0.0000  0.0000
Dy  0.5000  0.5000  0.5000
Zr  0.0000  0.0000  0.3081
Zr  0.5000  0.5000  0.8081
Ga  0.0000  0.0000  0.6642
Ga  0.5000  0.5000  0.1642



Entry 3:
This record from Alexandria via LeMat-Bulk describes crystalline Dy2Zr3Ga4 at its relaxed geometry. The functional is PBE-GGA.

Summary:
The total magnetization comes out at 0.000 μB/cell. As for the formation energy from the elements: -3.7 eV per formula unit. The space group is Cmce, No. 64. The mass density is 7.270 g/cm³.

Cell lengths 8.3917, 8.3917, 8.1922 Å; angles 90.00, 90.00, 135.98 degrees
Sites, in units of the cell vectors:
Dy  0.1125  0.8875  0.9126
Dy  0.3875  0.6125  0.4126
Dy  0.6125  0.3875  0.5874
Dy  0.8875  0.1125  0.0874
Zr  0.0000  0.0000  0.5000
Zr  0.0425  0.4575  0.7500
Zr  0.4575  0.0425  0.2500
Zr  0.5000  0.5000  0.0000
Zr  0.5425  0.9575  0.7500
Zr  0.9575  0.5425  0.2500
Ga  0.1825  0.8175  0.5536
Ga  0.2182  0.2818  0.7500
Ga  0.2818  0.2182  0.2500
Ga  0.3175  0.6825  0.0536
Ga  0.6825  0.3175  0.9464
Ga  0.7182  0.7818  0.7500
Ga  0.7818  0.7182  0.2500
Ga  0.8175  0.1825  0.4464



Entry 4:
This record from Alexandria via LeMat-Bulk describes crystalline DyZr2Ga at its relaxed geometry. The functional is PBE-GGA.

Summary:
The total magnetization comes out at 0.001 μB/cell. As for the formation energy from the elements: 0.5 eV per formula unit. The space group is R-3m, No. 166. The mass density is 7.263 g/cm³.

Cell lengths 3.1420, 3.1420, 33.2670 Å; angles 90.00, 90.00, 120.00 degrees
Sites, in units of the cell vectors:
Dy  0.0000  0.0000  0.0000
Dy  0.3333  0.6667  0.6667
Dy  0.6667  0.3333  0.3333
Zr  0.0000  0.0000  0.0960
Zr  0.0000  0.0000  0.9040
Zr  0.3333  0.6667  0.5707
Zr  0.3333  0.6667  0.7626
Zr  0.6667  0.3333  0.2374
Zr  0.6667  0.3333  0.4293
Ga  0.0000  0.0000  0.5000
Ga  0.3333  0.6667  0.1667
Ga  0.6667  0.3333  0.8333



Entry 5:
This record from Alexandria via LeMat-Bulk describes crystalline DyZr3Ga2 at its relaxed geometry. The functional is PBE-GGA.

Summary:
The total magnetization comes out at 0.000 μB/cell. As for the formation energy from the elements: -2.1 eV per formula unit. The space group is C2/m, No. 12. The mass density is 7.111 g/cm³.

Cell lengths 8.5186, 8.5186, 8.4897 Å; angles 112.53, 112.53, 28.36 degrees
Sites, in units of the cell vectors:
Dy  0.1183  0.1183  0.1415
Dy  0.8817  0.8817  0.8585
Zr  0.0557  0.0557  0.6798
Zr  0.3102  0.3102  0.1177
Zr  0.3606  0.3606  0.5130
Zr  0.6394  0.6394  0.4870
Zr  0.6898  0.6898  0.8823
Zr  0.9443  0.9443  0.3202
Ga  0.2400  0.2400  0.7042
Ga  0.4915  0.4915  0.1472
Ga  0.5085  0.5085  0.8528
Ga  0.7600  0.7600  0.2958



Entry 6:
This record from Alexandria via LeMat-Bulk describes crystalline DyZr2Ga at its relaxed geometry. The functional is PBE-GGA.

Summary:
The total magnetization comes out at 0.000 μB/cell. As for the formation energy from the elements: -1.2 eV per formula unit. The space group is P2_1/m, No. 11. The mass density is 7.268 g/cm³.

Cell lengths 4.3422, 4.2379, 10.5229 Å; angles 90.00, 101.88, 90.00 degrees
Sites, in units of the cell vectors:
Dy  0.1935  0.2500  0.3884
Dy  0.8065  0.7500  0.6116
Zr  0.0588  0.7500  0.1179
Zr  0.4437  0.7500  0.8872
Zr  0.5563  0.2500  0.1128
Zr  0.9412  0.2500  0.8821
Ga  0.3417  0.2500  0.6821
Ga  0.6583  0.7500  0.3179



Entry 7:
This record from Alexandria via LeMat-Bulk describes crystalline Dy2ZrGa at its relaxed geometry. The functional is PBE-GGA.

Summary:
The total magnetization comes out at 0.000 μB/cell. As for the formation energy from the elements: 0.5 eV per formula unit. The space group is R-3m, No. 166. The mass density is 7.674 g/cm³.

Cell lengths 3.3120, 3.3120, 33.2055 Å; angles 90.00, 90.00, 120.00 degrees
Sites, in units of the cell vectors:
Dy  0.0000  0.0000  0.0971
Dy  0.0000  0.0000  0.9029
Dy  0.3333  0.6667  0.5696
Dy  0.3333  0.6667  0.7638
Dy  0.6667  0.3333  0.2362
Dy  0.6667  0.3333  0.4304
Zr  0.0000  0.0000  0.0000
Zr  0.3333  0.6667  0.6667
Zr  0.6667  0.3333  0.3333
Ga  0.0000  0.0000  0.5000
Ga  0.3333  0.6667  0.1667
Ga  0.6667  0.3333  0.8333



Entry 8:
This record from Alexandria via LeMat-Bulk describes crystalline DyZrGa2 at its relaxed geometry. The functional is PBE-GGA.

Summary:
The total magnetization comes out at 0.000 μB/cell. As for the formation energy from the elements: -2.3 eV per formula unit. The space group is Pmc2_1, No. 26. The mass density is 7.568 g/cm³.

Cell lengths 3.9303, 5.6836, 7.7240 Å; angles 90.00, 90.00, 90.00 degrees
Sites, in units of the cell vectors:
Dy  0.0000  0.1277  0.0000
Dy  0.0000  0.8723  0.5000
Zr  0.5000  0.3719  0.6420
Zr  0.5000  0.6281  0.1420
Ga  0.0000  0.3972  0.3625
Ga  0.0000  0.6028  0.8625
Ga  0.5000  0.1229  0.2834
Ga  0.5000  0.8771  0.7834



Entry 9:
This record from Alexandria via LeMat-Bulk describes crystalline Dy2Zr3Ga4 at its relaxed geometry. The functional is PBE-GGA.

Summary:
The total magnetization comes out at 1.475 μB/cell. As for the formation energy from the elements: -5.1 eV per formula unit. The space group is P2_1/c, No. 14. The mass density is 7.413 g/cm³.

Cell lengths 7.5300, 7.5591, 7.2564 Å; angles 90.00, 107.84, 90.00 degrees
Sites, in units of the cell vectors:
Dy  0.1912  0.1731  0.0704
Dy  0.1912  0.3269  0.5704
Dy  0.8088  0.6731  0.4296
Dy  0.8088  0.8269  0.9296
Zr  0.2482  0.6798  0.2481
Zr  0.2482  0.8202  0.7481
Zr  0.5000  0.0000  0.5000
Zr  0.5000  0.5000  0.0000
Zr  0.7518  0.1798  0.2519
Zr  0.7518  0.3202  0.7519
Ga  0.0804  0.5359  0.8642
Ga  0.0804  0.9641  0.3642
Ga  0.4934  0.1236  0.8708
Ga  0.4934  0.3764  0.3708
Ga  0.5066  0.6236  0.6292
Ga  0.5066  0.8764  0.1292
Ga  0.9196  0.0359  0.6358
Ga  0.9196  0.4641  0.1358



Entry 10:
This record from Alexandria via LeMat-Bulk describes crystalline DyZr4Ga4 at its relaxed geometry. The functional is PBE-GGA.

Summary:
The total magnetization comes out at 0.000 μB/cell. As for the formation energy from the elements: -2.1 eV per formula unit. The space group is P4_2/n, No. 86. The mass density is 6.259 g/cm³.

Cell lengths 8.8381, 8.8381, 5.4771 Å; angles 90.00, 90.00, 90.00 degrees
Sites, in units of the cell vectors:
Dy  0.2500  0.2500  0.2500
Dy  0.7500  0.7500  0.7500
Zr  0.0986  0.6488  0.1304
Zr  0.1488  0.9014  0.6304
Zr  0.3512  0.5986  0.6304
Zr  0.4014  0.8512  0.1304
Zr  0.5986  0.1488  0.8696
Zr  0.6488  0.4014  0.3696
Zr  0.8512  0.0986  0.3696
Zr  0.9014  0.3512  0.8696
Ga  0.0381  0.6034  0.6417
Ga  0.1034  0.9619  0.1417
Ga  0.3966  0.5381  0.1417
Ga  0.4619  0.8966  0.6417
Ga  0.5381  0.1034  0.3583
Ga  0.6034  0.4619  0.8583
Ga  0.8966  0.0381  0.8583
Ga  0.9619  0.3966  0.3583



Entry 11:
This record from Alexandria via LeMat-Bulk describes crystalline DyZrGa2 at its relaxed geometry. The functional is PBE-GGA.

Summary:
The total magnetization comes out at 0.003 μB/cell. As for the formation energy from the elements: -2.0 eV per formula unit. The space group is P4/mmm, No. 123. The mass density is 7.818 g/cm³.

Cell lengths 3.5958, 3.5958, 6.4587 Å; angles 90.00, 90.00, 90.00 degrees
Sites, in units of the cell vectors:
Dy  0.0000  0.0000  0.0000
Zr  0.0000  0.0000  0.5000
Ga  0.5000  0.5000  0.2760
Ga  0.5000  0.5000  0.7240



Entry 12:
This record from Alexandria via LeMat-Bulk describes crystalline DyZrGa6 at its relaxed geometry. The functional is PBE-GGA.

Summary:
The total magnetization comes out at 0.000 μB/cell. As for the formation energy from the elements: -4.0 eV per formula unit. The space group is P4/mmm, No. 123. The mass density is 7.519 g/cm³.

Cell lengths 4.2004, 4.2004, 8.4117 Å; angles 90.00, 90.00, 90.00 degrees
Sites, in units of the cell vectors:
Dy  0.0000  0.0000  0.0000
Zr  0.0000  0.0000  0.5000
Ga  0.0000  0.5000  0.2564
Ga  0.0000  0.5000  0.7436
Ga  0.5000  0.0000  0.2564
Ga  0.5000  0.0000  0.7436
Ga  0.5000  0.5000  0.0000
Ga  0.5000  0.5000  0.5000



Entry 13:
This record from Alexandria via LeMat-Bulk describes crystalline DyZr2Ga9 at its relaxed geometry. The functional is PBE-GGA.

Summary:
The total magnetization comes out at 0.000 μB/cell. As for the formation energy from the elements: -5.9 eV per formula unit. The space group is P4/mmm, No. 123. The mass density is 7.387 g/cm³.

Cell lengths 4.1934, 4.1934, 12.4305 Å; angles 90.00, 90.00, 90.00 degrees
Sites, in units of the cell vectors:
Dy  0.0000  0.0000  0.0000
Zr  0.0000  0.0000  0.3389
Zr  0.0000  0.0000  0.6611
Ga  0.0000  0.5000  0.1737
Ga  0.0000  0.5000  0.5000
Ga  0.0000  0.5000  0.8263
Ga  0.5000  0.0000  0.1737
Ga  0.5000  0.0000  0.5000
Ga  0.5000  0.0000  0.8263
Ga  0.5000  0.5000  0.0000
Ga  0.5000  0.5000  0.3348
Ga  0.5000  0.5000  0.6652



Entry 14:
This record from Alexandria via LeMat-Bulk describes crystalline DyZrGa at its relaxed geometry. The functional is PBE-GGA.

Summary:
The total magnetization comes out at 0.000 μB/cell. As for the formation energy from the elements: -0.7 eV per formula unit. The space group is C2/m, No. 12. The mass density is 7.281 g/cm³.

Cell lengths 11.1737, 3.3489, 8.1740 Å; angles 90.00, 105.26, 90.00 degrees
Sites, in units of the cell vectors:
Dy  0.1057  0.0000  0.3303
Dy  0.3943  0.5000  0.6697
Dy  0.6057  0.5000  0.3303
Dy  0.8943  0.0000  0.6697
Zr  0.1226  0.5000  0.9671
Zr  0.3774  0.0000  0.0329
Zr  0.6226  0.0000  0.9671
Zr  0.8774  0.5000  0.0329
Ga  0.1812  0.0000  0.7140
Ga  0.3188  0.5000  0.2860
Ga  0.6812  0.5000  0.7140
Ga  0.8188  0.0000  0.2860



Entry 15:
This record from Alexandria via LeMat-Bulk describes crystalline DyZr2Ga at its relaxed geometry. The functional is PBE-GGA.

Summary:
The total magnetization comes out at 0.000 μB/cell. As for the formation energy from the elements: -0.2 eV per formula unit. The space group is R3m, No. 160. The mass density is 7.346 g/cm³.

Cell lengths 3.3111, 3.3111, 29.6175 Å; angles 90.00, 90.00, 120.00 degrees
Sites, in units of the cell vectors:
Dy  0.0000  0.0000  0.0000
Dy  0.3333  0.6667  0.6667
Dy  0.6667  0.3333  0.3333
Zr  0.0000  0.0000  0.5756
Zr  0.0000  0.0000  0.7584
Zr  0.3333  0.6667  0.2422
Zr  0.3333  0.6667  0.4250
Zr  0.6667  0.3333  0.0917
Zr  0.6667  0.3333  0.9089
Ga  0.0000  0.0000  0.1668
Ga  0.3333  0.6667  0.8335
Ga  0.6667  0.3333  0.5001



Entry 16:
This record from Alexandria via LeMat-Bulk describes crystalline DyZrGa at its relaxed geometry. The functional is PBE-GGA.

Summary:
The total magnetization comes out at 0.000 μB/cell. As for the formation energy from the elements: -1.3 eV per formula unit. The space group is P4/nmm, No. 129. The mass density is 7.525 g/cm³.

Cell lengths 4.2548, 4.2548, 7.8857 Å; angles 90.00, 90.00, 90.00 degrees
Sites, in units of the cell vectors:
Dy  0.2500  0.2500  0.1510
Dy  0.7500  0.7500  0.8490
Zr  0.2500  0.7500  0.5000
Zr  0.7500  0.2500  0.5000
Ga  0.2500  0.2500  0.7601
Ga  0.7500  0.7500  0.2399



Entry 17:
This record from Alexandria via LeMat-Bulk describes crystalline DyZr2Ga at its relaxed geometry. The functional is PBE-GGA.

Summary:
The total magnetization comes out at 0.000 μB/cell. As for the formation energy from the elements: -0.9 eV per formula unit. The space group is P4/mmm, No. 123. The mass density is 7.773 g/cm³.

Cell lengths 4.4630, 4.4630, 4.4475 Å; angles 90.00, 90.00, 90.00 degrees
Sites, in units of the cell vectors:
Dy  0.0000  0.0000  0.0000
Zr  0.0000  0.5000  0.5000
Zr  0.5000  0.0000  0.5000
Ga  0.5000  0.5000  0.0000



Entry 18:
This record from Alexandria via LeMat-Bulk describes crystalline DyZrGa2 at its relaxed geometry. The functional is PBE-GGA.

Summary:
The total magnetization comes out at 0.000 μB/cell. As for the formation energy from the elements: -1.4 eV per formula unit. The space group is R-3m, No. 166. The mass density is 7.240 g/cm³.

Cell lengths 3.5456, 3.5456, 24.8504 Å; angles 90.00, 90.00, 120.00 degrees
Sites, in units of the cell vectors:
Dy  0.0000  0.0000  0.0000
Dy  0.3333  0.6667  0.6667
Dy  0.6667  0.3333  0.3333
Zr  0.0000  0.0000  0.5000
Zr  0.3333  0.6667  0.1667
Zr  0.6667  0.3333  0.8333
Ga  0.0000  0.0000  0.2460
Ga  0.0000  0.0000  0.7540
Ga  0.3333  0.6667  0.4207
Ga  0.3333  0.6667  0.9127
Ga  0.6667  0.3333  0.0873
Ga  0.6667  0.3333  0.5793



Entry 19:
This record from Alexandria via LeMat-Bulk describes crystalline Dy2ZrGa6 at its relaxed geometry. The functional is PBE-GGA.

Summary:
The total magnetization comes out at 0.000 μB/cell. As for the formation energy from the elements: -3.2 eV per formula unit. The space group is Immm, No. 71. The mass density is 7.276 g/cm³.

Cell lengths 8.1103, 8.1103, 8.1103 Å; angles 152.94, 127.78, 59.79 degrees
Sites, in units of the cell vectors:
Dy  0.1372  0.1372  0.0000
Dy  0.8628  0.8628  0.0000
Zr  0.5000  0.0000  0.5000
Ga  0.1578  0.3325  0.8253
Ga  0.1951  0.5000  0.6951
Ga  0.4928  0.6675  0.8253
Ga  0.5072  0.3325  0.1747
Ga  0.8049  0.5000  0.3049
Ga  0.8422  0.6675  0.1747



Entry 20:
This record from Alexandria via LeMat-Bulk describes crystalline DyZrGa at its relaxed geometry. The functional is PBE-GGA.

Summary:
The total magnetization comes out at 0.000 μB/cell. As for the formation energy from the elements: 0.2 eV per formula unit. The space group is P-6m2, No. 187. The mass density is 8.131 g/cm³.

Cell lengths 5.0138, 5.0138, 3.0343 Å; angles 90.00, 90.00, 120.00 degrees
Sites, in units of the cell vectors:
Dy  0.0000  0.0000  0.0000
Zr  0.3333  0.6667  0.0000
Ga  0.6667  0.3333  0.5000



Entry 21:
This record from Alexandria via LeMat-Bulk describes crystalline Dy2ZrGa at its relaxed geometry. The functional is PBE-GGA.

Summary:
The total magnetization comes out at 0.000 μB/cell. As for the formation energy from the elements: -0.9 eV per formula unit. The space group is P4/mmm, No. 123. The mass density is 8.035 g/cm³.

Cell lengths 3.4366, 3.4366, 8.5039 Å; angles 90.00, 90.00, 90.00 degrees
Sites, in units of the cell vectors:
Dy  0.0000  0.0000  0.2265
Dy  0.0000  0.0000  0.7735
Zr  0.5000  0.5000  0.5000
Ga  0.5000  0.5000  0.0000